{
  "formula": "BeCrSi2",
  "functional": "PBE",
  "state": "relaxed",
  "lattice": [[9.0079, 0.0706, 0.0414], [8.6296, 2.5839, 0.0414], [8.6296, 1.2988, 2.2341]],
  "species": ["Be", "Si", "Si", "Cr"],
  "frac_coords": [[0.4946, 0.4946, 0.4946], [0.2388, 0.2388, 0.2388], [0.0108, 0.0108, 0.0108], [0.7558, 0.7558, 0.7558]],
  "space_group": "No. 160",
  "formation_energy_uncorrected_ev_per_atom": 0.319,
  "crystal_system": "trigonal",
  "n_ef_per_ev_cell": 1.56,
  "dft_energy_ev_per_atom": -5.730
}